No. 1
The following is a PBEsol calculation of crystalline CaTe2OsSe at its relaxed geometry, from Alexandria.

a = 4.9527 Å, b = 4.9527 Å, c = 5.7805 Å
α = 90.00°, β = 90.00°, γ = 90.00°
With the nearest neighbours (Å) after each atom.
Atoms (fractional coordinates):
1 Ca 0.0000 0.0000 0.0000  2 Os 2.89
2 Te 0.0000 0.5000 0.5000  2 Os 2.48
3 Te 0.5000 0.0000 0.5000  2 Os 2.48
4 Os 0.0000 0.0000 0.5000  4 Te 2.48
5 Se 0.5000 0.5000 0.0000  4 Ca 3.50, 8 Te 3.81

Calculated values
Total moment ... 0.0 μB per formula unit
E_form (uncorrected) ... 138 meV per atom

No. 2
The following is a PBEsol calculation of crystalline Ca2SiOs at its relaxed geometry, from Alexandria.

a = 5.2113 Å, b = 5.2113 Å, c = 5.2113 Å
α = 132.47°, β = 132.47°, γ = 69.49°
With the nearest neighbours (Å) after each atom.
Atoms (fractional coordinates):
1 Ca 0.2500 0.7500 0.5000  4 Ca 2.97, 4 Os 3.00, 4 Si 3.00
2 Ca 0.7500 0.2500 0.5000  4 Ca 2.97, 4 Os 3.00, 4 Si 3.00
3 Si 0.0000 0.0000 0.0000  4 Os 2.97, 8 Ca 3.00
4 Os 0.5000 0.5000 0.0000  4 Si 2.97, 8 Ca 3.00

Calculated values
Total moment ... 0.0 μB per formula unit
E_form (uncorrected) ... 269 meV per atom

No. 3
The following is a PBEsol calculation of crystalline Ca2SiOs at its relaxed geometry, from Alexandria.

a = 9.4857 Å, b = 9.4857 Å, c = 9.4857 Å
α = 19.20°, β = 19.20°, γ = 19.20°
With the nearest neighbours (Å) after each atom.
Atoms (fractional coordinates):
1 Ca 0.2461 0.2461 0.2461  3 Os 2.87, 3 Si 3.04, 6 Ca 3.16
2 Ca 0.7539 0.7539 0.7539  3 Os 2.87, 3 Si 3.04, 6 Ca 3.16
3 Si 0.0000 0.0000 0.0000  6 Ca 3.04, 6 Si 3.16
4 Os 0.5000 0.5000 0.5000  6 Ca 2.87, 6 Os 3.16

Calculated values
Total moment ... 0.0 μB per formula unit
E_form (uncorrected) ... 459 meV per atom

No. 4
The following is a PBEsol calculation of crystalline CaSn3Os at its relaxed geometry, from Alexandria.

a = 5.3966 Å, b = 5.3966 Å, c = 5.3966 Å
α = 90.00°, β = 90.00°, γ = 90.00°
With the nearest neighbours (Å) after each atom.
Atoms (fractional coordinates):
1 Ca 0.0000 0.0000 0.0000  6 Sn 2.70
2 Sn 0.0000 0.0000 0.5000  2 Ca 2.70
3 Sn 0.0000 0.5000 0.0000  2 Ca 2.70
4 Sn 0.5000 0.0000 0.0000  2 Ca 2.70
5 Os 0.5000 0.5000 0.5000  12 Sn 3.82

Calculated values
Energy relative to the elements ... 46.0 kcal/mol of atoms
Total moment ... 2.2 μB per formula unit